(1)
A plane-wave DFT calculation with PBE was carried out for a relaxed NaSmZnS3 crystal.

It has space group Pnma (No. 62), with a = 11.235 Å, b = 4.024 Å, c = 11.537 Å, α = 90.00°, β = 90.00° and γ = 90.00°. Symmetry generates all atoms from Na at (0.154, 0.250, 0.007), Sm at (0.024, 0.250, 0.676), Zn at (0.247, 0.250, 0.292), S at (0.056, 0.750, 0.846), S at (0.105, 0.250, 0.438) and S at (0.216, 0.750, 0.185).

As for the crystal system: orthorhombic. The total moment is 0.006 μB per cell. Its energy above the lowest structure with this stoichiometry is 0 meV/atom.

***

(2)
A plane-wave DFT calculation with PBE was carried out for a relaxed NaSmZnS3 crystal.

It has space group C2/m (No. 12), with a = 18.142 Å, b = 3.966 Å, c = 7.841 Å, α = 90.00°, β = 104.89° and γ = 90.00°. Symmetry generates all atoms from Na at (0.122, 0.000, 0.077), Sm at (0.174, 0.000, 0.594), Zn at (0.031, 0.500, 0.732), S at (0.000, 0.000, 0.500), S at (0.000, 0.500, 0.000), S at (0.163, 0.500, 0.831) and S at (0.172, 0.500, 0.349).

As for the crystal system: monoclinic. The total moment is 0.008 μB per cell. Its energy above the lowest structure with this stoichiometry is 115 meV/atom.

***

(3)
A plane-wave DFT calculation with PBE was carried out for a relaxed NaSmZnS3 crystal.

It has space group P2_1/m (No. 11), with a = 7.780 Å, b = 3.967 Å, c = 9.697 Å, α = 90.00°, β = 104.16° and γ = 90.00°. Symmetry generates all atoms from Na at (0.244, 0.250, 0.260), Sm at (0.305, 0.750, 0.865), Zn at (0.078, 0.250, 0.604), S at (0.047, 0.250, 0.835), S at (0.222, 0.750, 0.547) and S at (0.450, 0.750, 0.154).

As for the crystal system: monoclinic. The total moment is 0.000 μB per cell. Its energy above the lowest structure with this stoichiometry is 25 meV/atom.

***

(4)
A plane-wave DFT calculation with PBE was carried out for a relaxed NaTa2SnS4 crystal.

It has space group P-3m1 (No. 164), with a = 3.3589 Å, b = 3.3589 Å, c = 15.7053 Å, α = 90.00°, β = 90.00° and γ = 120.00°. Symmetry generates all atoms from Na at (0.0000, 0.0000, 0.0000), Ta at (0.0000, 0.0000, 0.2290), Sn at (0.0000, 0.0000, 0.5000), S at (0.3333, 0.6667, 0.6721) and S at (0.3333, 0.6667, 0.8716).

As for the crystal system: trigonal. The total moment is 0.008 μB per cell. The total energy is -6.662 eV/atom.

***

(5)
A plane-wave DFT calculation with PBE was carried out for a relaxed NaTbSnS3 crystal.

It has space group Cmcm (No. 63), with a = 3.983 Å, b = 15.222 Å, c = 10.969 Å, α = 90.00°, β = 90.00° and γ = 90.00°. Symmetry generates all atoms from Na at (0.000, 0.143, 0.250), Tb at (0.000, 0.500, 0.000), Sn at (0.000, 0.143, 0.750), S at (0.000, 0.123, 0.005) and S at (0.000, 0.475, 0.250).

As for the crystal system: orthorhombic. The total moment is 0.008 μB per cell. The total energy is -4.927 eV/atom.

***

(6)
A plane-wave DFT calculation with PBE was carried out for a relaxed NaTmSnS3 crystal.

It has space group Pnma (No. 62), with a = 13.279 Å, b = 3.925 Å, c = 11.937 Å, α = 90.00°, β = 90.00° and γ = 90.00°. Symmetry generates all atoms from Na at (0.230, 0.250, 0.121), Tm at (0.001, 0.250, 0.359), Sn at (0.056, 0.250, 0.905), S at (0.093, 0.750, 0.231), S at (0.110, 0.250, 0.546) and S at (0.145, 0.750, 0.805).

As for the crystal system: orthorhombic. The total moment is 0.001 μB per cell. The total energy is -5.011 eV/atom.

***

(7)
A plane-wave DFT calculation with PBE was carried out for a relaxed NaSrTmS3 crystal.

It has space group Pnma (No. 62), with a = 13.807 Å, b = 4.072 Å, c = 11.292 Å, α = 90.00°, β = 90.00° and γ = 90.00°. Symmetry generates all atoms from Na at (0.016, 0.250, 0.086), Sr at (0.248, 0.750, 0.955), Tm at (0.000, 0.250, 0.656), S at (0.107, 0.250, 0.869), S at (0.109, 0.750, 0.551) and S at (0.114, 0.250, 0.273).

As for the crystal system: orthorhombic. The total moment is 0.004 μB per cell. Its energy above the lowest structure with this stoichiometry is 132 meV/atom.

***

(8)
A plane-wave DFT calculation with PBE was carried out for a relaxed NaSrTmS3 crystal.

It has space group C2/m (No. 12), with a = 16.951 Å, b = 3.970 Å, c = 8.659 Å, α = 90.00°, β = 104.83° and γ = 90.00°. Symmetry generates all atoms from Na at (0.004, 0.000, 0.203), Sr at (0.136, 0.500, 0.567), Tm at (0.166, 0.500, 0.086), S at (0.000, 0.000, 0.500), S at (0.000, 0.500, 0.000), S at (0.170, 0.000, 0.866) and S at (0.178, 0.000, 0.307).

As for the crystal system: monoclinic. The total moment is 0.016 μB per cell. Its energy above the lowest structure with this stoichiometry is 0 meV/atom.

***

(9)
A plane-wave DFT calculation with PBE was carried out for a relaxed NaSrTmS3 crystal.

It has space group P2_1/m (No. 11), with a = 7.517 Å, b = 4.045 Å, c = 9.937 Å, α = 90.00°, β = 107.71° and γ = 90.00°. Symmetry generates all atoms from Na at (0.097, 0.250, 0.088), Sr at (0.291, 0.250, 0.804), Tm at (0.299, 0.750, 0.361), S at (0.054, 0.250, 0.336), S at (0.293, 0.750, 0.049) and S at (0.449, 0.750, 0.638).

As for the crystal system: monoclinic. The total moment is 0.001 μB per cell. Its energy above the lowest structure with this stoichiometry is 147 meV/atom.

***

(10)
A plane-wave DFT calculation with PBE was carried out for a relaxed NaTa3S5 crystal.

It has space group P6/mmm (No. 191), with a = 5.6879 Å, b = 5.6879 Å, c = 7.2317 Å, α = 90.00°, β = 90.00° and γ = 120.00°. Symmetry generates all atoms from Na at (0.0000, 0.0000, 0.0000), Ta at (0.0000, 0.5000, 0.5000), S at (0.0000, 0.0000, 0.5000) and S at (0.3333, 0.6667, 0.2384).

As for the crystal system: hexagonal. The total moment is 0.003 μB per cell. The total energy is -7.087 eV/atom.

***

(11)
A plane-wave DFT calculation with PBE was carried out for a relaxed Na2YTaS4 crystal.

It has space group P-6m2 (No. 187), with a = 3.6113 Å, b = 3.6113 Å, c = 14.2013 Å, α = 90.00°, β = 90.00° and γ = 120.00°. Symmetry generates all atoms from Na at (0.0000, 0.0000, 0.2459), Y at (0.0000, 0.0000, 0.5000), Ta at (0.0000, 0.0000, 0.0000), S at (0.3333, 0.6667, 0.3791) and S at (0.6667, 0.3333, 0.1056).

As for the crystal system: hexagonal. The total moment is 0.047 μB per cell. The total energy is -6.040 eV/atom.

***

(12)
A plane-wave DFT calculation with PBE was carried out for a relaxed Na2TcS3 crystal.

It has space group C2/m (No. 12), with a = 6.458 Å, b = 11.217 Å, c = 6.885 Å, α = 90.00°, β = 108.85° and γ = 90.00°. Symmetry generates all atoms from Na at (0.000, 0.000, 0.000), Na at (0.000, 0.154, 0.500), Na at (0.000, 0.500, 0.500), Tc at (0.000, 0.332, 0.000), S at (0.202, 0.500, 0.210) and S at (0.242, 0.314, 0.789).

As for the crystal system: monoclinic. The total moment is 12.001 μB per cell. The total energy is -4.946 eV/atom.